# 1
Here is a geometry-optimized SrFe2Se structure from the Alexandria database. Energies are from PBE.

abc: 4.0826 4.0621 5.0805
angles: 90.00 90.00 90.00
Last column: nearest neighbours and their distance in Å.
Sites, in units of the cell vectors:
Sr (0.0000, 0.5000, 0.5000)  4 Se 2.88
Se (0.5000, 0.0000, 0.5000)  4 Sr 2.88
Fe (0.0000, 0.0000, 0.0000)  4 Fe 2.88
Fe (0.5000, 0.5000, 0.0000)  4 Fe 2.88

Results
As for the density: 5.484 g/cm³. The value obtained for the energy is -5.24 eV/atom. The value obtained for the size of the total moment is 6.01 μB per cell.

=====

# 2
Here is a geometry-optimized CeTlIrPd structure from the Alexandria database. Energies are from PBE.

abc: 4.8684 4.8684 4.8684
angles: 60.00 60.00 60.00
Last column: nearest neighbours and their distance in Å.
Sites, in units of the cell vectors:
Ir (0.0000, 0.0000, 0.0000)  4 Tl 2.98, 4 Ce 2.98
Tl (0.7500, 0.7500, 0.7500)  4 Ir 2.98, 4 Pd 2.98
Pd (0.5000, 0.5000, 0.5000)  4 Tl 2.98, 4 Ce 2.98
Ce (0.2500, 0.2500, 0.2500)  4 Ir 2.98, 4 Pd 2.98

Results
As for the density: 13.089 g/cm³. The value obtained for the energy is -5.98 eV/atom. As for the formation energy: -1.6 eV per formula unit. The value obtained for the size of the total moment is 0.00 μB per cell.

=====

# 3
Here is a geometry-optimized Sm2TlAs structure from the Alexandria database. Energies are from PBE.

abc: 4.0579 4.0579 8.6283
angles: 76.40 76.40 60.00
Last column: nearest neighbours and their distance in Å.
Sites, in units of the cell vectors:
As (0.6675, 0.6675, 0.9975)  6 Sm 2.89-2.92
Sm (0.2641, 0.2641, 0.2077)  3 As 2.92
Tl (0.4998, 0.4998, 0.5007)  6 Sm 3.38
Sm (0.0686, 0.0686, 0.7941)  3 As 2.89

Results
As for the density: 8.133 g/cm³. The value obtained for the energy is -4.96 eV/atom. As for the formation energy: -3.4 eV per formula unit. The value obtained for the energy relative to the lowest polymorph listed for this composition is 0.060 eV/atom. The value obtained for the size of the total moment is 0.00 μB per cell.

=====

# 4
Here is a geometry-optimized BaMgMo structure from the Alexandria database. Energies are from PBE.

abc: 6.5567 6.5567 6.5567
angles: 152.15 142.47 47.38
Last column: nearest neighbours and their distance in Å.
Sites, in units of the cell vectors:
Mo (0.7011, 0.7011, 0.0000)  4 Mg 2.85, 2 Mo 3.16
Ba (0.0066, 0.0066, 0.0000)  2 Ba 3.16, 1 Mg 3.43, 4 Mo 3.52
Mg (0.2923, 0.2923, 0.0000)  4 Mo 2.85, 2 Mg 3.16

Results
As for the density: 5.350 g/cm³. The value obtained for the energy is -3.90 eV/atom. As for the formation energy: 2.6 eV per formula unit. The value obtained for the energy relative to the lowest polymorph listed for this composition is 0.045 eV/atom. The value obtained for the size of the total moment is 0.00 μB per cell.

=====

# 5
Here is a geometry-optimized NbVCl4 structure from the Alexandria database. Energies are from PBE.

abc: 3.3157 7.2561 5.8389
angles: 100.18 90.00 103.26
Last column: nearest neighbours and their distance in Å.
Sites, in units of the cell vectors:
Nb (0.9949, 0.9898, 0.0487)  6 Cl 2.45-2.60
Cl (0.6022, 0.2037, 0.8693)  2 Nb 2.59, 1 V 2.63
Cl (0.9033, 0.8072, 0.6201)  2 V 2.53, 1 Nb 2.60
Cl (0.1232, 0.2456, 0.3939)  2 V 2.40, 1 Nb 2.45
Cl (0.3718, 0.7446, 0.1275)  1 V 2.36, 2 Nb 2.50
V (0.5045, 0.0090, 0.4404)  6 Cl 2.36-2.63

Results
As for the density: 3.528 g/cm³. The value obtained for the energy is -5.49 eV/atom. The value obtained for the size of the total moment is 0.90 μB per cell.

=====

# 6
Here is a geometry-optimized VCd2Au2 structure from the Alexandria database. Energies are from PBE.

abc: 7.2059 7.2059 3.9008
angles: 90.00 90.00 90.00
Last column: nearest neighbours and their distance in Å.
Sites, in units of the cell vectors:
V (0.5000, 0.5000, 0.0000)  4 Au 2.79
Au (0.8621, 0.6379, 0.0000)  6 Cd 2.78-2.95, 2 V 2.79, 1 Au 2.81
V (0.0000, 0.0000, 0.0000)  4 Au 2.79
Cd (0.3328, 0.1672, 0.5000)  6 Au 2.78-2.95
Au (0.3621, 0.8621, 0.0000)  6 Cd 2.78-2.95, 2 V 2.79, 1 Au 2.81
Au (0.1379, 0.3621, 0.0000)  6 Cd 2.78-2.95, 2 V 2.79, 1 Au 2.81
Cd (0.1672, 0.6672, 0.5000)  6 Au 2.78-2.95
Cd (0.8328, 0.3328, 0.5000)  6 Au 2.78-2.95
Au (0.6379, 0.1379, 0.0000)  6 Cd 2.78-2.95, 2 V 2.79, 1 Au 2.81
Cd (0.6672, 0.8328, 0.5000)  6 Au 2.78-2.95

Results
As for the density: 10.981 g/cm³. The value obtained for the energy is -3.37 eV/atom. As for the formation energy: 0.7 eV per formula unit. The value obtained for the size of the total moment is 6.41 μB per cell.

=====

# 7
Here is a geometry-optimized YW2Se structure from the Alexandria database. Energies are from PBE.

abc: 4.7371 4.7371 4.7371
angles: 60.00 60.00 60.00
Last column: nearest neighbours and their distance in Å.
Sites, in units of the cell vectors:
Y (0.2500, 0.2500, 0.2500)  4 Se 2.90, 4 W 2.90
W (0.0000, 0.0000, 0.0000)  4 Y 2.90, 4 W 2.90
Se (0.5000, 0.5000, 0.5000)  4 W 2.90, 4 Y 2.90
W (0.7500, 0.7500, 0.7500)  4 W 2.90, 4 Se 2.90

Results
As for the density: 11.831 g/cm³. The value obtained for the energy is -8.46 eV/atom. The value obtained for the size of the total moment is 0.00 μB per cell.

=====

# 8
Here is a geometry-optimized NdDyRu structure from the Alexandria database. Energies are from PBE.

abc: 4.8518 4.8518 4.8518
angles: 60.00 60.00 60.00
Last column: nearest neighbours and their distance in Å.
Sites, in units of the cell vectors:
Ru (0.2500, 0.2500, 0.2500)  4 Nd 2.97, 4 Dy 2.97
Nd (0.0000, 0.0000, 0.0000)  4 Ru 2.97
Dy (0.5000, 0.5000, 0.5000)  4 Ru 2.97

Results
As for the density: 8.385 g/cm³. The value obtained for the energy is -6.42 eV/atom. As for the formation energy: -0.6 eV per formula unit. The value obtained for the energy relative to the lowest polymorph listed for this composition is 0.054 eV/atom. The value obtained for the size of the total moment is 0.00 μB per cell.

=====

# 9
Here is a geometry-optimized DyHo2ScN4 structure from the Alexandria database. Energies are from PBE.

abc: 3.4011 5.8829 5.8827
angles: 109.42 90.00 90.00
Last column: nearest neighbours and their distance in Å.
Sites, in units of the cell vectors:
N (0.5000, 0.2419, 0.2428)  2 Sc 2.37, 3 Ho 2.40-2.44, 1 Dy 2.41
N (0.5000, 0.7581, 0.7572)  2 Sc 2.37, 3 Ho 2.40-2.44, 1 Dy 2.41
Dy (0.5000, 0.5000, 0.0000)  6 N 2.41
Ho (0.5000, 0.0000, 0.5000)  6 N 2.40
N (0.0000, 0.2450, 0.7531)  1 Sc 2.36, 3 Ho 2.40-2.44, 2 Dy 2.41
Sc (0.0000, 0.0000, 0.0000)  6 N 2.36-2.37
Ho (0.0000, 0.5000, 0.5000)  6 N 2.44
N (0.0000, 0.7550, 0.2469)  1 Sc 2.36, 3 Ho 2.40-2.44, 2 Dy 2.41

Results
As for the density: 8.875 g/cm³. The value obtained for the energy is -8.41 eV/atom. The value obtained for the size of the total moment is 0.00 μB per cell.

=====

# 10
Here is a geometry-optimized PdRhSe2N structure from the Alexandria database. Energies are from PBE.

abc: 5.0915 5.0915 3.5861
angles: 90.00 90.00 90.00
Last column: nearest neighbours and their distance in Å.
Sites, in units of the cell vectors:
N (0.0000, 0.0000, 0.5000)  2 Rh 1.79
Rh (0.0000, 0.0000, 0.0000)  2 N 1.79
Se (0.5000, 0.0000, 0.0000)  2 Rh 2.55
Pd (0.5000, 0.5000, 0.5000)  8 Se 3.11
Se (0.0000, 0.5000, 0.0000)  2 Rh 2.55

Results
As for the density: 6.810 g/cm³. The value obtained for the energy is -5.02 eV/atom. The value obtained for the energy relative to the lowest polymorph listed for this composition is 0.000 eV/atom. The value obtained for the size of the total moment is 0.00 μB per cell.

=====

# 11
Here is a geometry-optimized Ti2TlCuH structure from the Alexandria database. Energies are from PBE.

abc: 4.0782 4.0782 4.1771
angles: 90.00 90.00 90.00
Last column: nearest neighbours and their distance in Å.
Sites, in units of the cell vectors:
Tl (0.5000, 0.5000, 0.5000)  4 Cu 2.88, 8 Ti 2.92
Ti (0.5000, 0.0000, 0.0000)  2 H 2.04
Cu (0.0000, 0.0000, 0.5000)  2 H 2.09
H (0.0000, 0.0000, 0.0000)  4 Ti 2.04, 2 Cu 2.09
Ti (0.0000, 0.5000, 0.0000)  2 H 2.04

Results
As for the density: 8.716 g/cm³. The value obtained for the energy is -5.21 eV/atom. The value obtained for the size of the total moment is 0.00 μB per cell.

=====

# 12
Here is a geometry-optimized Ni2AgIr structure from the Alexandria database. Energies are from PBE.

abc: 3.7797 3.7797 8.9043
angles: 77.75 77.75 90.00
Last column: nearest neighbours and their distance in Å.
Sites, in units of the cell vectors:
Ni (0.8750, 0.9134, 0.7500)  2 Ir 2.46, 2 Ni 2.48, 2 Ag 2.57
Ni (0.0866, 0.6250, 0.2500)  2 Ir 2.46, 2 Ni 2.48, 2 Ag 2.57
Ir (0.0000, 0.0000, 0.0000)  4 Ni 2.46, 4 Ag 2.67
Ag (0.2500, 0.7500, 0.5000)  4 Ni 2.57, 4 Ir 2.67
Ni (0.3750, 0.3366, 0.7500)  2 Ir 2.46, 2 Ni 2.48, 2 Ag 2.57
Ni (0.6634, 0.1250, 0.2500)  2 Ir 2.46, 2 Ni 2.48, 2 Ag 2.57
Ir (0.7500, 0.2500, 0.5000)  4 Ni 2.46, 4 Ag 2.67
Ag (0.5000, 0.5000, 0.0000)  4 Ni 2.57, 4 Ir 2.67

Results
As for the density: 11.426 g/cm³. The value obtained for the energy is -5.10 eV/atom. As for the formation energy: 2.9 eV per formula unit. The value obtained for the energy relative to the lowest polymorph listed for this composition is 0.586 eV/atom. The value obtained for the size of the total moment is 0.00 μB per cell.